## LaPrTh (PBE)

Data for crystalline LaPrTh at its relaxed geometry.

Computed properties:
Final energy in eV per atom: -4.9644
Total magnetization in μB per cell: 1.5
ΔE_f in eV/atom: 0.7390
Polymorph energy (0 for the lowest one) in eV per atom: 0.0000

Geometry as CIF:
```
data_LaPrTh
_chemical_formula_sum 'La1 Pr1 Th1'
_space_group_name_H-M_alt 'P 1'
_space_group_IT_number 1
_cell_length_a 5.471
_cell_length_b 5.471
_cell_length_c 5.471
_cell_angle_alpha 60.00
_cell_angle_beta 60.00
_cell_angle_gamma 60.00
loop_
_space_group_symop_operation_xyz
'x,y,z'
loop_
_atom_site_label
_atom_site_fract_x
_atom_site_fract_y
_atom_site_fract_z
La1 0.250 0.250 0.250
Pr1 0.000 0.000 0.000
Th1 0.750 0.750 0.750
```

---

## LaPrTl2Zn2 (PBE)

Data for crystalline LaPrTl2Zn2 at its relaxed geometry.

Computed properties:
Final energy in eV per atom: -3.2142
Total magnetization in μB per cell: 0.0

Geometry as CIF:
```
data_LaPrTl2Zn2
_chemical_formula_sum 'La1 Pr1 Tl2 Zn2'
_space_group_name_H-M_alt 'P 1'
_space_group_IT_number 1
_cell_length_a 4.813
_cell_length_b 4.813
_cell_length_c 7.759
_cell_angle_alpha 90.00
_cell_angle_beta 90.00
_cell_angle_gamma 120.00
loop_
_space_group_symop_operation_xyz
'x,y,z'
loop_
_atom_site_label
_atom_site_fract_x
_atom_site_fract_y
_atom_site_fract_z
La1 0.000 0.000 0.847
Pr1 0.000 0.000 0.347
Tl1 0.667 0.333 0.126
Tl2 0.333 0.667 0.624
Zn1 0.333 0.667 0.047
Zn2 0.667 0.333 0.546
```

---

## LaPrU (PBE)

Data for crystalline LaPrU at its relaxed geometry.

Computed properties:
Final energy in eV per atom: -5.8201
Total magnetization in μB per cell: 4.1
ΔE_f in eV/atom: 1.1778
Polymorph energy (0 for the lowest one) in eV per atom: 0.0000

Geometry as CIF:
```
data_LaPrU
_chemical_formula_sum 'La1 Pr1 U1'
_space_group_name_H-M_alt 'P 1'
_space_group_IT_number 1
_cell_length_a 5.197
_cell_length_b 5.197
_cell_length_c 5.197
_cell_angle_alpha 60.00
_cell_angle_beta 60.00
_cell_angle_gamma 60.00
loop_
_space_group_symop_operation_xyz
'x,y,z'
loop_
_atom_site_label
_atom_site_fract_x
_atom_site_fract_y
_atom_site_fract_z
La1 0.000 0.000 0.000
Pr1 0.250 0.250 0.250
U1 0.750 0.750 0.750
```

---

## LaPrW (PBE)

Data for crystalline LaPrW at its relaxed geometry.

Computed properties:
Final energy in eV per atom: -6.7832
Total magnetization in μB per cell: 0.0
ΔE_f in eV/atom: 0.7693

Geometry as CIF:
```
data_LaPrW
_chemical_formula_sum 'La1 Pr1 W1'
_space_group_name_H-M_alt 'P 1'
_space_group_IT_number 1
_cell_length_a 5.006
_cell_length_b 5.006
_cell_length_c 5.006
_cell_angle_alpha 60.00
_cell_angle_beta 60.00
_cell_angle_gamma 60.00
loop_
_space_group_symop_operation_xyz
'x,y,z'
loop_
_atom_site_label
_atom_site_fract_x
_atom_site_fract_y
_atom_site_fract_z
La1 0.250 0.250 0.250
Pr1 0.750 0.750 0.750
W1 0.000 0.000 0.000
```

---

## LaPrZn6 (PBE)

Data for crystalline LaPrZn6 at its relaxed geometry.

Computed properties:
Final energy in eV per atom: -2.4289
Total magnetization in μB per cell: 0.0
ΔE_f in eV/atom: -0.2682

Geometry as CIF:
```
data_LaPrZn6
_chemical_formula_sum 'La1 Pr1 Zn6'
_space_group_name_H-M_alt 'P 1'
_space_group_IT_number 1
_cell_length_a 4.844
_cell_length_b 6.833
_cell_length_c 4.846
_cell_angle_alpha 90.00
_cell_angle_beta 90.00
_cell_angle_gamma 90.00
loop_
_space_group_symop_operation_xyz
'x,y,z'
loop_
_atom_site_label
_atom_site_fract_x
_atom_site_fract_y
_atom_site_fract_z
La1 0.000 0.000 0.746
Pr1 0.500 0.500 0.254
Zn1 0.000 0.252 0.245
Zn2 0.000 0.748 0.245
Zn3 0.500 0.000 0.253
Zn4 0.000 0.500 0.747
Zn5 0.500 0.252 0.755
Zn6 0.500 0.748 0.755
```

---

## LaPrZn (PBE)

Data for crystalline LaPrZn at its relaxed geometry.

Computed properties:
Final energy in eV per atom: -3.6446
Total magnetization in μB per cell: 0.2
ΔE_f in eV/atom: 0.0094

Geometry as CIF:
```
data_LaPrZn
_chemical_formula_sum 'La1 Pr1 Zn1'
_space_group_name_H-M_alt 'P 1'
_space_group_IT_number 1
_cell_length_a 5.150
_cell_length_b 5.150
_cell_length_c 5.150
_cell_angle_alpha 60.00
_cell_angle_beta 60.00
_cell_angle_gamma 60.00
loop_
_space_group_symop_operation_xyz
'x,y,z'
loop_
_atom_site_label
_atom_site_fract_x
_atom_site_fract_y
_atom_site_fract_z
La1 0.250 0.250 0.250
Pr1 0.750 0.750 0.750
Zn1 0.000 0.000 0.000
```